Cs2Ag2O5 (PBE, optimized geometry); crystal system = tetragonal; E above lowest polymorph = 0 meV/atom
1.0
4.068 0.000 0.000
0.000 4.068 0.000
0.000 0.000 9.599
Cs Ag O
2 2 5
Cartesian
0.000 0.000 0.000
0.000 0.000 4.799
2.034 2.034 2.115
2.034 2.034 7.484
0.000 2.034 2.543
0.000 2.034 7.056
2.034 0.000 2.543
2.034 0.000 7.056
2.034 2.034 0.000

Cs2Ag2O5 (PBE, optimized geometry); crystal system = tetragonal; E above lowest polymorph = 816 meV/atom
1.0
4.445 0.000 0.000
0.000 4.445 0.000
0.000 0.000 8.176
Cs Ag O
2 2 5
Cartesian
0.000 0.000 1.743
0.000 0.000 6.433
2.223 2.223 0.000
2.223 2.223 4.088
0.000 0.000 4.088
0.000 2.223 1.584
0.000 2.223 6.592
2.223 0.000 1.584
2.223 0.000 6.592

Cs3AgO2 (PBE, optimized geometry); crystal system = orthorhombic
1.0
6.345 0.000 0.000
0.000 12.245 0.000
0.000 0.000 4.618
Cs Ag O
6 2 4
Cartesian
0.000 0.000 0.000
0.545 3.252 2.309
2.628 9.375 0.000
3.173 6.122 2.309
3.717 2.870 0.000
5.801 8.993 2.309
0.000 6.122 0.000
3.173 0.000 2.309
1.461 4.686 0.000
1.711 10.809 2.309
4.634 1.436 2.309
4.884 7.559 0.000

Cs7Ag5O2 (PBE, optimized geometry); crystal system = orthorhombic
1.0
-3.060 4.981 8.862
3.060 -4.981 8.862
3.060 4.981 -8.862
Cs Ag O
7 5 2
Cartesian
0.000 0.000 0.000
3.060 -2.208 5.970
3.060 2.896 0.000
0.000 2.773 2.893
3.060 2.208 5.970
0.000 2.085 8.862
0.000 7.190 2.893
3.060 0.000 2.697
0.000 0.000 5.457
0.000 4.981 0.000
0.000 0.000 12.268
0.000 4.981 6.165
0.000 2.913 0.000
0.000 7.049 0.000

Number 1: density 5.87 g/cm³, E -3.75 eV/atom. Number 2: density 5.77 g/cm³, E -2.93 eV/atom. Number 3: density 4.99 g/cm³, E -3.45 eV/atom. Number 4: density 4.62 g/cm³, E -2.52 eV/atom.